# 1
The following is a DFT calculation (PBE-GGA) of a relaxed structure of Mn2TcNi.

POSCAR file:
```
Mn2TcNi
1.0
2.929 0.000 0.000
0.000 2.982 0.000
-0.049 0.000 5.855
Mn Tc Ni
2 1 1
direct
0.000 0.000 0.238 Mn
0.000 0.000 0.762 Mn
0.500 0.500 0.500 Tc
0.500 0.500 0.000 Ni
```

Output
size of the total moment: 6.208 μB/f.u.
E_form: 0.03 eV/atom
V: 51.15 Å³ per cell
space-group type: P2/m (10)
density: 8.65 g/cm³

# 2
The following is a DFT calculation (PBE-GGA) of a relaxed structure of MnTcNi2.

POSCAR file:
```
MnTcNi2
1.0
3.586 0.000 0.000
0.000 3.586 0.000
0.000 0.000 3.750
Mn Tc Ni
1 1 2
direct
0.000 0.000 0.000 Mn
0.500 0.500 0.000 Tc
0.000 0.500 0.500 Ni
0.500 0.000 0.500 Ni
```

Output
size of the total moment: 0.573 μB/f.u.
excess energy over the best structure of this formula in the dataset: 29.4 meV per atom
E_form: 0.03 eV/atom
V: 48.23 Å³ per cell
space-group type: P4/mmm (123)
density: 9.31 g/cm³

# 3
The following is a DFT calculation (PBE-GGA) of a relaxed structure of MnTcNi2.

POSCAR file:
```
MnTcNi2
1.0
4.311 -1.322 0.000
4.311 1.322 0.000
-0.835 0.000 4.288
Mn Tc Ni
1 1 2
direct
0.000 0.000 0.000 Mn
0.500 0.500 0.500 Tc
0.251 0.251 0.749 Ni
0.749 0.749 0.251 Ni
```

Output
size of the total moment: 2.577 μB/f.u.
excess energy over the best structure of this formula in the dataset: 70.3 meV per atom
E_form: 0.07 eV/atom
V: 48.87 Å³ per cell
space-group type: C2/m (12)
density: 9.19 g/cm³

# 4
The following is a DFT calculation (PBE-GGA) of a relaxed structure of MnTc2Ni2.

POSCAR file:
```
MnTc2Ni2
1.0
6.196 0.000 0.000
0.000 6.196 0.000
0.000 0.000 3.306
Mn Tc Ni
2 4 4
direct
0.000 0.000 0.000 Mn
0.500 0.500 0.000 Mn
0.168 0.332 0.500 Tc
0.332 0.832 0.500 Tc
0.668 0.168 0.500 Tc
0.832 0.668 0.500 Tc
0.132 0.632 0.000 Ni
0.368 0.132 0.000 Ni
0.632 0.868 0.000 Ni
0.868 0.368 0.000 Ni
```

Output
size of the total moment: 0.000 μB/f.u.
excess energy over the best structure of this formula in the dataset: 0.0 meV per atom
E_form: 0.34 eV/atom
V: 126.92 Å³ per cell
space-group type: P4/mbm (127)
density: 9.64 g/cm³

# 5
The following is a DFT calculation (PBE-GGA) of a relaxed structure of MnTc3Ni.

POSCAR file:
```
MnTc3Ni
1.0
4.351 0.000 0.000
0.000 4.351 0.000
0.000 0.000 4.351
Mn Tc Ni
1 3 1
direct
0.000 0.000 0.000 Mn
0.000 0.000 0.500 Tc
0.000 0.500 0.000 Tc
0.500 0.000 0.000 Tc
0.500 0.500 0.500 Ni
```

Output
size of the total moment: 0.000 μB/f.u.
excess energy over the best structure of this formula in the dataset: 0.0 meV per atom
E_form: 1.35 eV/atom
V: 82.36 Å³ per cell
space-group type: Pm-3m (221)
density: 8.22 g/cm³

# 6
The following is a DFT calculation (PBE-GGA) of a relaxed structure of MnTc2Ni2.

POSCAR file:
```
MnTc2Ni2
1.0
7.240 0.000 0.000
0.000 7.240 0.000
0.000 0.000 2.533
Mn Tc Ni
2 4 4
direct
0.000 0.000 0.000 Mn
0.500 0.500 0.000 Mn
0.126 0.374 0.000 Tc
0.374 0.874 0.000 Tc
0.626 0.126 0.000 Tc
0.874 0.626 0.000 Tc
0.170 0.670 0.500 Ni
0.330 0.170 0.500 Ni
0.670 0.830 0.500 Ni
0.830 0.330 0.500 Ni
```

Output
size of the total moment: 0.000 μB/f.u.
excess energy over the best structure of this formula in the dataset: 153.5 meV per atom
E_form: 0.49 eV/atom
V: 132.77 Å³ per cell
space-group type: P4/mbm (127)
density: 9.21 g/cm³

# 7
The following is a DFT calculation (PBE-GGA) of a relaxed structure of MnTcNi2.

POSCAR file:
```
MnTcNi2
1.0
3.114 0.000 0.000
0.000 3.114 0.000
0.000 0.000 5.123
Mn Tc Ni
1 1 2
direct
0.000 0.000 0.000 Mn
0.000 0.000 0.500 Tc
0.500 0.500 0.247 Ni
0.500 0.500 0.753 Ni
```

Output
size of the total moment: 2.706 μB/f.u.
excess energy over the best structure of this formula in the dataset: 131.1 meV per atom
E_form: 0.13 eV/atom
V: 49.66 Å³ per cell
space-group type: P4/mmm (123)
density: 9.04 g/cm³

# 8
The following is a DFT calculation (PBE-GGA) of a relaxed structure of MnTc2Ni2.

POSCAR file:
```
MnTc2Ni2
1.0
-1.624 1.624 6.452
1.624 -1.624 6.452
1.624 1.624 -6.452
Mn Tc Ni
1 2 2
direct
0.000 0.000 0.000 Mn
0.402 0.402 0.000 Tc
0.598 0.598 0.000 Tc
0.250 0.750 0.500 Ni
0.750 0.250 0.500 Ni
```

Output
size of the total moment: 2.192 μB/f.u.
excess energy over the best structure of this formula in the dataset: 90.7 meV per atom
E_form: 0.43 eV/atom
V: 68.06 Å³ per cell
space-group type: I4/mmm (139)
density: 8.99 g/cm³